[1]
This record from the Alexandria database describes crystalline Ca11Tl9Cd4 at its relaxed geometry. The functional is PBE.

Summary:
The space group is Cmmm, No. 65. The value obtained for the formation energy from the elements is -0.37 eV per atom. As for the electronic total energy: -55.9 eV/f.u. Its calculated volume is 29.2 Å³/atom. The density of states at the Fermi level is 12.47 states/eV/cell. The value obtained for the total magnetization is 0.000 μB per cell.

Cell lengths 13.8658, 13.8658, 3.9268 Å; angles 90.00, 90.00, 111.65 degrees
Closest atoms and distances in Å follow each position.
Fractional positions:
Ca: 0.0000 0.0000 0.0000  8 Tl 3.34
Ca: 0.0700 0.4117 0.0000  2 Cd 3.23, 6 Tl 3.36-3.43
Ca: 0.1686 0.8314 0.0000  8 Tl 3.37-3.41, 2 Ca 3.75
Ca: 0.2536 0.2536 0.0000  4 Cd 3.27, 4 Tl 3.37
Ca: 0.3493 0.6507 0.0000  4 Cd 3.28, 4 Tl 3.38
Ca: 0.4117 0.0700 0.0000  2 Cd 3.23, 6 Tl 3.36-3.43
Ca: 0.5883 0.9300 0.0000  2 Cd 3.23, 6 Tl 3.36-3.43
Ca: 0.6507 0.3493 0.0000  4 Cd 3.28, 4 Tl 3.38
Ca: 0.7464 0.7464 0.0000  4 Cd 3.27, 4 Tl 3.37
Ca: 0.8314 0.1686 0.0000  8 Tl 3.37-3.41, 2 Ca 3.75
Ca: 0.9300 0.5883 0.0000  2 Cd 3.23, 6 Tl 3.36-3.43
Tl: 0.0435 0.2070 0.5000  8 Ca 3.34-3.41, 1 Cd 3.60
Tl: 0.1433 0.6258 0.5000  8 Ca 3.37-3.43, 1 Cd 3.48, 1 Tl 3.60
Tl: 0.2070 0.0435 0.5000  8 Ca 3.34-3.41, 1 Cd 3.60
Tl: 0.3742 0.8567 0.5000  8 Ca 3.37-3.43, 1 Cd 3.48, 1 Tl 3.60
Tl: 0.5000 0.5000 0.5000  4 Cd 3.06
Tl: 0.6258 0.1433 0.5000  8 Ca 3.37-3.43, 1 Cd 3.48, 1 Tl 3.60
Tl: 0.7930 0.9565 0.5000  8 Ca 3.34-3.41, 1 Cd 3.60
Tl: 0.8567 0.3742 0.5000  8 Ca 3.37-3.43, 1 Cd 3.48, 1 Tl 3.60
Tl: 0.9565 0.7930 0.5000  8 Ca 3.34-3.41, 1 Cd 3.60
Cd: 0.2653 0.4466 0.5000  1 Tl 3.06, 6 Ca 3.23-3.28
Cd: 0.4466 0.2653 0.5000  1 Tl 3.06, 6 Ca 3.23-3.28
Cd: 0.5534 0.7347 0.5000  1 Tl 3.06, 6 Ca 3.23-3.28
Cd: 0.7347 0.5534 0.5000  1 Tl 3.06, 6 Ca 3.23-3.28

=====

[2]
This record from the Alexandria database describes crystalline CaTl2Cd2 at its relaxed geometry. The functional is PBE.

Summary:
The space group is P4/mbm, No. 127. The value obtained for the formation energy from the elements is -0.08 eV per atom. As for the electronic total energy: -9.0 eV/f.u. Its calculated volume is 28.4 Å³/atom. The density of states at the Fermi level is 5.68 states/eV/cell. The value obtained for the total magnetization is 0.000 μB per cell.

Cell lengths 8.5960, 8.5960, 3.8491 Å; angles 90.00, 90.00, 90.00 degrees
Closest atoms and distances in Å follow each position.
Fractional positions:
Ca: 0.0000 0.0000 0.0000  4 Tl 3.33
Ca: 0.5000 0.5000 0.0000  4 Tl 3.33
Tl: 0.1374 0.3626 0.0000  6 Cd 3.11-3.22, 2 Ca 3.33, 1 Tl 3.34
Tl: 0.3626 0.8626 0.0000  6 Cd 3.11-3.22, 2 Ca 3.33, 1 Tl 3.34
Tl: 0.6374 0.1374 0.0000  6 Cd 3.11-3.22, 2 Ca 3.33, 1 Tl 3.34
Tl: 0.8626 0.6374 0.0000  6 Cd 3.11-3.22, 2 Ca 3.33, 1 Tl 3.34
Cd: 0.1612 0.6612 0.5000  6 Tl 3.11-3.22
Cd: 0.3388 0.1612 0.5000  6 Tl 3.11-3.22
Cd: 0.6612 0.8388 0.5000  6 Tl 3.11-3.22
Cd: 0.8388 0.3388 0.5000  6 Tl 3.11-3.22

=====

[3]
This record from the Alexandria database describes crystalline Ca4TlCd at its relaxed geometry. The functional is PBE.

Summary:
The space group is F-43m, No. 216. The value obtained for the formation energy from the elements is 0.21 eV per atom. As for the electronic total energy: -10.0 eV/f.u. Its calculated volume is 37.0 Å³/atom. The density of states at the Fermi level is 7.39 states/eV/cell. The value obtained for the total magnetization is 0.002 μB per cell.

Cell lengths 6.7985, 6.7985, 6.7985 Å; angles 60.00, 60.00, 60.00 degrees
Closest atoms and distances in Å follow each position.
Fractional positions:
Ca: 0.1252 0.1252 0.1252  6 Ca 3.39-3.40
Ca: 0.1252 0.1252 0.6245  6 Ca 3.39-3.40
Ca: 0.1252 0.6245 0.1252  6 Ca 3.39-3.40
Ca: 0.6245 0.1252 0.1252  6 Ca 3.39-3.40
Tl: 0.5000 0.5000 0.5000  12 Ca 3.99, 4 Cd 4.16
Cd: 0.7500 0.7500 0.7500  12 Ca 3.99, 4 Tl 4.16

=====

[4]
This record from the Alexandria database describes crystalline CaTl2Cd4 at its relaxed geometry. The functional is PBE.

Summary:
The space group is I4/mmm, No. 139. The value obtained for the formation energy from the elements is -0.06 eV per atom. As for the electronic total energy: -10.8 eV/f.u. Its calculated volume is 27.3 Å³/atom. The density of states at the Fermi level is 4.13 states/eV/cell. The value obtained for the total magnetization is 0.000 μB per cell.

Cell lengths 4.1492, 4.1492, 22.2369 Å; angles 90.00, 90.00, 90.00 degrees
Closest atoms and distances in Å follow each position.
Fractional positions:
Ca: 0.0000 0.0000 0.0000  2 Cd 3.28, 8 Tl 3.52
Ca: 0.5000 0.5000 0.5000  2 Cd 3.28, 8 Tl 3.52
Tl: 0.0000 0.0000 0.4124  4 Cd 3.22, 4 Ca 3.52
Tl: 0.0000 0.0000 0.5876  4 Cd 3.22, 4 Ca 3.52
Tl: 0.5000 0.5000 0.0876  4 Cd 3.22, 4 Ca 3.52
Tl: 0.5000 0.5000 0.9124  4 Cd 3.22, 4 Ca 3.52
Cd: 0.0000 0.0000 0.1475  4 Cd 3.08, 4 Tl 3.22, 1 Ca 3.28
Cd: 0.0000 0.0000 0.8525  4 Cd 3.08, 4 Tl 3.22, 1 Ca 3.28
Cd: 0.0000 0.5000 0.2500  8 Cd 2.93-3.08
Cd: 0.0000 0.5000 0.7500  8 Cd 2.93-3.08
Cd: 0.5000 0.0000 0.2500  8 Cd 2.93-3.08
Cd: 0.5000 0.0000 0.7500  8 Cd 2.93-3.08
Cd: 0.5000 0.5000 0.3525  4 Cd 3.08, 4 Tl 3.22, 1 Ca 3.28
Cd: 0.5000 0.5000 0.6475  4 Cd 3.08, 4 Tl 3.22, 1 Ca 3.28

=====

[5]
This record from the Alexandria database describes crystalline CaTl2Cd2 at its relaxed geometry. The functional is PBE.

Summary:
The space group is P-1, No. 2. The value obtained for the formation energy from the elements is -0.16 eV per atom. As for the electronic total energy: -9.4 eV/f.u. Its calculated volume is 27.3 Å³/atom. The density of states at the Fermi level is 2.64 states/eV/cell. The value obtained for the total magnetization is 0.000 μB per cell.

Cell lengths 4.3613, 5.6243, 6.3747 Å; angles 81.38, 70.28, 68.13 degrees
Closest atoms and distances in Å follow each position.
Fractional positions:
Ca: 0.0000 0.0000 0.0000  6 Tl 3.33-3.37, 6 Cd 3.41-3.70
Tl: 0.1874 0.4037 0.2284  5 Cd 3.21-3.29, 3 Ca 3.33-3.37, 1 Tl 3.44
Tl: 0.8126 0.5963 0.7716  5 Cd 3.21-3.29, 3 Ca 3.33-3.37, 1 Tl 3.44
Cd: 0.3898 0.8099 0.4100  3 Cd 3.13-3.38, 5 Tl 3.21-3.29, 2 Ca 3.41-3.42
Cd: 0.6102 0.1901 0.5900  3 Cd 3.13-3.38, 5 Tl 3.21-3.29, 2 Ca 3.41-3.42

=====

[6]
This record from the Alexandria database describes crystalline CaTlCd6 at its relaxed geometry. The functional is PBE.

Summary:
The space group is Amm2, No. 38. The value obtained for the formation energy from the elements is -0.12 eV per atom. As for the electronic total energy: -10.8 eV/f.u. Its calculated volume is 24.9 Å³/atom. The density of states at the Fermi level is 6.45 states/eV/cell. The value obtained for the total magnetization is 0.000 μB per cell.

Cell lengths 4.9907, 7.6973, 10.3862 Å; angles 90.00, 90.00, 90.00 degrees
Closest atoms and distances in Å follow each position.
Fractional positions:
Ca: 0.0000 0.0000 0.0000  10 Cd 3.22-3.38, 2 Tl 3.46
Ca: 0.0000 0.5000 0.5000  10 Cd 3.22-3.38, 2 Tl 3.46
Tl: 0.5000 0.0000 0.2310  10 Cd 3.21-3.43, 2 Ca 3.46
Tl: 0.5000 0.5000 0.7310  10 Cd 3.21-3.43, 2 Ca 3.46
Cd: 0.0000 0.0000 0.4258  8 Cd 3.09-3.33, 2 Tl 3.21
Cd: 0.0000 0.1952 0.7122  7 Cd 3.00-3.33, 2 Ca 3.22-3.35
Cd: 0.0000 0.3048 0.2122  7 Cd 3.00-3.33, 2 Ca 3.22-3.35
Cd: 0.0000 0.5000 0.9258  8 Cd 3.09-3.33, 2 Tl 3.21
Cd: 0.0000 0.6952 0.2122  7 Cd 3.00-3.33, 2 Ca 3.22-3.35
Cd: 0.0000 0.8048 0.7122  7 Cd 3.00-3.33, 2 Ca 3.22-3.35
Cd: 0.5000 0.0000 0.8013  8 Cd 3.06-3.38, 2 Ca 3.24
Cd: 0.5000 0.2042 0.5137  7 Cd 3.09-3.38, 2 Tl 3.21-3.33, 2 Ca 3.38
Cd: 0.5000 0.2958 0.0137  7 Cd 3.09-3.38, 2 Tl 3.21-3.33, 2 Ca 3.38
Cd: 0.5000 0.5000 0.3013  8 Cd 3.06-3.38, 2 Ca 3.24
Cd: 0.5000 0.7042 0.0137  7 Cd 3.09-3.38, 2 Tl 3.21-3.33, 2 Ca 3.38
Cd: 0.5000 0.7958 0.5137  7 Cd 3.09-3.38, 2 Tl 3.21-3.33, 2 Ca 3.38

=====

[7]
This record from the Alexandria database describes crystalline CaTl7Cd4 at its relaxed geometry. The functional is PBE.

Summary:
The space group is C2/m, No. 12. The value obtained for the formation energy from the elements is 0.02 eV per atom. As for the electronic total energy: -22.0 eV/f.u. Its calculated volume is 29.6 Å³/atom. The density of states at the Fermi level is 5.18 states/eV/cell. The value obtained for the total magnetization is 0.000 μB per cell.

Cell lengths 7.7483, 7.7483, 9.3974 Å; angles 117.38, 117.38, 46.77 degrees
Closest atoms and distances in Å follow each position.
Fractional positions:
Ca: 0.0000 0.0000 0.0000  6 Tl 3.08-3.44
Tl: 0.0671 0.0671 0.4039  3 Cd 3.02-3.25, 1 Tl 3.22
Tl: 0.2049 0.2049 0.8907  1 Cd 3.10, 1 Tl 3.45
Tl: 0.2685 0.2685 0.3040  4 Cd 2.96-3.31
Tl: 0.5000 0.5000 0.0000  4 Cd 2.98-3.17, 2 Ca 3.08
Tl: 0.7315 0.7315 0.6960  4 Cd 2.96-3.31
Tl: 0.7951 0.7951 0.1093  1 Cd 3.10, 1 Tl 3.45
Tl: 0.9329 0.9329 0.5961  3 Cd 3.02-3.25, 1 Tl 3.22
Cd: 0.3049 0.3049 0.6637  1 Cd 2.96, 6 Tl 2.98-3.31
Cd: 0.4828 0.4828 0.3231  2 Cd 2.96-3.11, 4 Tl 2.96-3.25
Cd: 0.5172 0.5172 0.6769  2 Cd 2.96-3.11, 4 Tl 2.96-3.25
Cd: 0.6951 0.6951 0.3363  1 Cd 2.96, 6 Tl 2.98-3.31

=====

[8]
This record from the Alexandria database describes crystalline Ca6TlCd3 at its relaxed geometry. The functional is PBE.

Summary:
The space group is P2_1/m, No. 11. The value obtained for the formation energy from the elements is -0.30 eV per atom. As for the electronic total energy: -20.1 eV/f.u. Its calculated volume is 30.7 Å³/atom. The density of states at the Fermi level is 15.52 states/eV/cell. The value obtained for the total magnetization is 0.000 μB per cell.

Cell lengths 9.6182, 5.5521, 12.0434 Å; angles 90.00, 107.34, 90.00 degrees
Closest atoms and distances in Å follow each position.
Fractional positions:
Ca: 0.0195 0.2500 0.4063  7 Cd 3.25-3.62
Ca: 0.1311 0.7500 0.1754  5 Cd 3.20-3.41, 1 Tl 3.21
Ca: 0.2612 0.2500 0.9948  4 Cd 3.27-3.62, 3 Tl 3.34-3.55
Ca: 0.3467 0.7500 0.8182  3 Cd 3.26-3.48, 3 Tl 3.43
Ca: 0.3530 0.2500 0.3139  8 Ca 3.50-3.69, 4 Cd 3.57-3.85, 2 Tl 3.89
Ca: 0.4039 0.2500 0.6140  1 Tl 3.16, 3 Cd 3.18-3.31, 1 Ca 3.50
Ca: 0.5961 0.7500 0.3860  1 Tl 3.16, 3 Cd 3.18-3.31, 1 Ca 3.50
Ca: 0.6470 0.7500 0.6861  8 Ca 3.50-3.69, 4 Cd 3.57-3.85, 2 Tl 3.89
Ca: 0.6533 0.2500 0.1818  3 Cd 3.26-3.48, 3 Tl 3.43
Ca: 0.7388 0.7500 0.0052  4 Cd 3.27-3.62, 3 Tl 3.34-3.55
Ca: 0.8689 0.2500 0.8246  5 Cd 3.20-3.41, 1 Tl 3.21
Ca: 0.9805 0.7500 0.5937  7 Cd 3.25-3.62
Tl: 0.4353 0.7500 0.1158  7 Ca 3.16-3.43
Tl: 0.5647 0.2500 0.8842  7 Ca 3.16-3.43
Cd: 0.0432 0.7500 0.8864  7 Ca 3.21-3.49
Cd: 0.1306 0.2500 0.7109  8 Ca 3.18-3.50
Cd: 0.2720 0.7500 0.4710  9 Ca 3.31-3.62
Cd: 0.7280 0.2500 0.5290  9 Ca 3.31-3.62
Cd: 0.8694 0.7500 0.2891  8 Ca 3.18-3.50
Cd: 0.9568 0.2500 0.1136  7 Ca 3.21-3.49

=====

[9]
This record from the Alexandria database describes crystalline CaTl2Cd2 at its relaxed geometry. The functional is PBE.

Summary:
The space group is I4/mmm, No. 139. The value obtained for the formation energy from the elements is -0.11 eV per atom. As for the electronic total energy: -9.1 eV/f.u. Its calculated volume is 29.1 Å³/atom. The density of states at the Fermi level is 4.85 states/eV/cell. The value obtained for the total magnetization is 0.000 μB per cell.

Cell lengths 4.6779, 4.6779, 13.2753 Å; angles 90.00, 90.00, 90.00 degrees
Closest atoms and distances in Å follow each position.
Fractional positions:
Ca: 0.0000 0.0000 0.0000  8 Cd 3.58
Ca: 0.5000 0.5000 0.5000  8 Cd 3.58
Tl: 0.0000 0.5000 0.2500  4 Cd 3.05, 4 Tl 3.31
Tl: 0.0000 0.5000 0.7500  4 Cd 3.05, 4 Tl 3.31
Tl: 0.5000 0.0000 0.2500  4 Cd 3.05, 4 Tl 3.31
Tl: 0.5000 0.0000 0.7500  4 Cd 3.05, 4 Tl 3.31
Cd: 0.0000 0.0000 0.3971  1 Cd 2.73, 4 Tl 3.05
Cd: 0.0000 0.0000 0.6029  1 Cd 2.73, 4 Tl 3.05
Cd: 0.5000 0.5000 0.1029  1 Cd 2.73, 4 Tl 3.05
Cd: 0.5000 0.5000 0.8971  1 Cd 2.73, 4 Tl 3.05

=====

[10]
This record from the Alexandria database describes crystalline CaTl4Cd at its relaxed geometry. The functional is PBE.

Summary:
The space group is P2_1/m, No. 11. The value obtained for the formation energy from the elements is -0.13 eV per atom. As for the electronic total energy: -13.2 eV/f.u. Its calculated volume is 28.9 Å³/atom. The density of states at the Fermi level is 4.92 states/eV/cell. The value obtained for the total magnetization is 0.000 μB per cell.

Cell lengths 5.9834, 6.8932, 8.6071 Å; angles 90.00, 102.63, 90.00 degrees
Closest atoms and distances in Å follow each position.
Fractional positions:
Ca: 0.2078 0.2500 0.1705  9 Tl 3.38-3.54, 3 Cd 3.45-3.47
Ca: 0.7922 0.7500 0.8295  9 Tl 3.38-3.54, 3 Cd 3.45-3.47
Tl: 0.0101 0.7500 0.4906  1 Cd 3.35, 10 Tl 3.39-3.55, 1 Ca 3.45
Tl: 0.2796 0.0021 0.8407  3 Cd 3.36-3.50, 6 Tl 3.36-3.55, 3 Ca 3.38-3.54
Tl: 0.2796 0.4979 0.8407  3 Cd 3.36-3.50, 6 Tl 3.36-3.55, 3 Ca 3.38-3.54
Tl: 0.5000 0.0000 0.5000  8 Tl 3.39-3.52, 2 Cd 3.43, 2 Ca 3.45
Tl: 0.5000 0.5000 0.5000  8 Tl 3.39-3.52, 2 Cd 3.43, 2 Ca 3.45
Tl: 0.7204 0.5021 0.1593  3 Cd 3.36-3.50, 6 Tl 3.36-3.55, 3 Ca 3.38-3.54
Tl: 0.7204 0.9979 0.1593  3 Cd 3.36-3.50, 6 Tl 3.36-3.55, 3 Ca 3.38-3.54
Tl: 0.9899 0.2500 0.5094  1 Cd 3.35, 10 Tl 3.39-3.55, 1 Ca 3.45
Cd: 0.2336 0.7500 0.1664  9 Tl 3.35-3.50, 3 Ca 3.45-3.47
Cd: 0.7664 0.2500 0.8336  9 Tl 3.35-3.50, 3 Ca 3.45-3.47

=====

[11]
This record from the Alexandria database describes crystalline Ca2TlCd at its relaxed geometry. The functional is PBE.

Summary:
The space group is Imm2, No. 44. The value obtained for the formation energy from the elements is -0.30 eV per atom. As for the electronic total energy: -8.5 eV/f.u. Its calculated volume is 29.7 Å³/atom. The density of states at the Fermi level is 4.85 states/eV/cell. The value obtained for the total magnetization is 0.000 μB per cell.

Cell lengths 3.8847, 5.4083, 11.2965 Å; angles 90.00, 90.00, 90.00 degrees
Closest atoms and distances in Å follow each position.
Fractional positions:
Ca: 0.0000 0.0000 0.0000  4 Tl 3.36, 2 Cd 3.40, 2 Ca 3.62
Ca: 0.0000 0.5000 0.2127  4 Cd 3.35, 2 Tl 3.45, 2 Ca 3.62
Ca: 0.5000 0.0000 0.7127  4 Cd 3.35, 2 Tl 3.45, 2 Ca 3.62
Ca: 0.5000 0.5000 0.5000  4 Tl 3.36, 2 Cd 3.40, 2 Ca 3.62
Tl: 0.0000 0.0000 0.4602  2 Cd 3.09, 6 Ca 3.36-3.45
Tl: 0.5000 0.5000 0.9602  2 Cd 3.09, 6 Ca 3.36-3.45
Cd: 0.0000 0.5000 0.7469  2 Tl 3.09, 6 Ca 3.35-3.40
Cd: 0.5000 0.0000 0.2469  2 Tl 3.09, 6 Ca 3.35-3.40

=====

[12]
This record from the Alexandria database describes crystalline Ca4TlCd2 at its relaxed geometry. The functional is PBE.

Summary:
The space group is R-3m, No. 166. The value obtained for the formation energy from the elements is -0.29 eV per atom. As for the electronic total energy: -14.3 eV/f.u. Its calculated volume is 32.1 Å³/atom. The density of states at the Fermi level is 3.85 states/eV/cell. The value obtained for the total magnetization is 0.000 μB per cell.

Cell lengths 9.4126, 9.4126, 9.4126 Å; angles 33.39, 33.39, 33.39 degrees
Closest atoms and distances in Å follow each position.
Fractional positions:
Ca: 0.1232 0.1232 0.1232  4 Cd 3.29-3.35, 3 Tl 3.33
Ca: 0.3740 0.3740 0.3740  4 Cd 3.33, 1 Tl 3.36
Ca: 0.6260 0.6260 0.6260  4 Cd 3.33, 1 Tl 3.36
Ca: 0.8768 0.8768 0.8768  4 Cd 3.29-3.35, 3 Tl 3.33
Tl: 0.5000 0.5000 0.5000  8 Ca 3.33-3.36
Cd: 0.2488 0.2488 0.2488  8 Ca 3.29-3.35
Cd: 0.7512 0.7512 0.7512  8 Ca 3.29-3.35